A relaxed LuCdPdRu crystal, computed with GGA-PBE.

a b c (Å): 4.6746 4.6746 4.6746
angles (deg): 60.00 60.00 60.00
With the nearest neighbours (Å) after each atom.
Atoms (fractional coordinates):
1 Ru 0.7500 0.7500 0.7500  4 Cd 2.86, 4 Lu 2.86
2 Lu 0.5000 0.5000 0.5000  4 Pd 2.86, 4 Ru 2.86
3 Pd 0.2500 0.2500 0.2500  4 Cd 2.86, 4 Lu 2.86
4 Cd 0.0000 0.0000 0.0000  4 Ru 2.86, 4 Pd 2.86

Calculated values
- Symmetry: F-43m (216)
- Energy of formation from the pure elements: -0.384 eV/atom

A relaxed TbLuCdPd crystal, computed with GGA-PBE.

a b c (Å): 5.0855 5.0855 5.0855
angles (deg): 60.00 60.00 60.00
With the nearest neighbours (Å) after each atom.
Atoms (fractional coordinates):
1 Lu 0.0000 0.0000 0.0000  4 Cd 3.11, 4 Pd 3.11
2 Tb 0.5000 0.5000 0.5000  4 Cd 3.11, 4 Pd 3.11
3 Pd 0.2500 0.2500 0.2500  4 Tb 3.11, 4 Lu 3.11
4 Cd 0.7500 0.7500 0.7500  4 Tb 3.11, 4 Lu 3.11

Calculated values
- Symmetry: F-43m (216)
- Energy of formation from the pure elements: -0.559 eV/atom

A relaxed LuThCdPd crystal, computed with GGA-PBE.

a b c (Å): 5.1783 5.1783 5.1783
angles (deg): 60.00 60.00 60.00
With the nearest neighbours (Å) after each atom.
Atoms (fractional coordinates):
1 Lu 0.0000 0.0000 0.0000  4 Pd 3.17, 4 Cd 3.17
2 Pd 0.2500 0.2500 0.2500  4 Th 3.17, 4 Lu 3.17
3 Th 0.5000 0.5000 0.5000  4 Cd 3.17, 4 Pd 3.17
4 Cd 0.7500 0.7500 0.7500  4 Lu 3.17, 4 Th 3.17

Calculated values
- Symmetry: F-43m (216)
- Energy of formation from the pure elements: -0.402 eV/atom

A relaxed LuZnCdPd crystal, computed with GGA-PBE.

a b c (Å): 4.7552 4.7552 4.7552
angles (deg): 60.00 60.00 60.00
With the nearest neighbours (Å) after each atom.
Atoms (fractional coordinates):
1 Zn 0.5000 0.5000 0.5000  4 Cd 2.91, 4 Lu 2.91
2 Lu 0.2500 0.2500 0.2500  4 Zn 2.91, 4 Pd 2.91
3 Pd 0.0000 0.0000 0.0000  4 Cd 2.91, 4 Lu 2.91
4 Cd 0.7500 0.7500 0.7500  4 Zn 2.91, 4 Pd 2.91

Calculated values
- Symmetry: F-43m (216)
- Energy of formation from the pure elements: -0.490 eV/atom

A relaxed Pm2LuCd crystal, computed with GGA-PBE.

a b c (Å): 3.6659 3.6659 8.9633
angles (deg): 90.00 90.00 90.00
With the nearest neighbours (Å) after each atom.
Atoms (fractional coordinates):
1 Cd 0.5000 0.5000 0.0000  8 Pm 3.32, 4 Cd 3.67
2 Lu 0.5000 0.5000 0.5000  8 Pm 3.54, 4 Lu 3.67
3 Pm 0.0000 0.0000 0.7689  4 Cd 3.32, 4 Lu 3.54, 4 Pm 3.67
4 Pm 0.0000 0.0000 0.2311  4 Cd 3.32, 4 Lu 3.54, 4 Pm 3.67

Calculated values
- Symmetry: P4/mmm (123)
- Energy of formation from the pure elements: -0.127 eV/atom

A relaxed PmLu2Cd crystal, computed with GGA-PBE.

a b c (Å): 3.5557 3.5557 9.0073
angles (deg): 90.00 90.00 90.00
With the nearest neighbours (Å) after each atom.
Atoms (fractional coordinates):
1 Cd 0.5000 0.5000 0.0000  8 Lu 3.21, 4 Cd 3.56
2 Lu 0.0000 0.0000 0.7793  4 Cd 3.21, 4 Lu 3.56, 4 Pm 3.56
3 Lu 0.0000 0.0000 0.2207  4 Cd 3.21, 4 Lu 3.56, 4 Pm 3.56
4 Pm 0.5000 0.5000 0.5000  4 Pm 3.56, 8 Lu 3.56

Calculated values
- Symmetry: P4/mmm (123)
- Energy of formation from the pure elements: -0.146 eV/atom

A relaxed Pm2LuCd crystal, computed with GGA-PBE.

a b c (Å): 5.5006 5.5006 5.5006
angles (deg): 60.00 60.00 60.00
With the nearest neighbours (Å) after each atom.
Atoms (fractional coordinates):
1 Cd 0.5000 0.5000 0.5000  8 Pm 3.37
2 Lu 0.0000 0.0000 0.0000  8 Pm 3.37
3 Pm 0.2500 0.2500 0.2500  4 Lu 3.37, 4 Cd 3.37
4 Pm 0.7500 0.7500 0.7500  4 Cd 3.37, 4 Lu 3.37

Calculated values
- Symmetry: Fm-3m (225)
- Energy of formation from the pure elements: -0.061 eV/atom

A relaxed PmLuCd4 crystal, computed with GGA-PBE.

a b c (Å): 5.9200 5.9200 5.9200
angles (deg): 60.00 60.00 60.00
With the nearest neighbours (Å) after each atom.
Atoms (fractional coordinates):
1 Cd 0.6250 0.6250 0.1250  6 Cd 2.96
2 Cd 0.6250 0.1250 0.6250  6 Cd 2.96
3 Cd 0.6250 0.6250 0.6250  6 Cd 2.96
4 Cd 0.1250 0.6250 0.6250  6 Cd 2.96
5 Lu 0.0000 0.0000 0.0000  12 Cd 3.47, 4 Pm 3.63
6 Pm 0.2500 0.2500 0.2500  12 Cd 3.47, 4 Lu 3.63

Calculated values
- Symmetry: F-43m (216)
- Energy of formation from the pure elements: -0.238 eV/atom

A relaxed Pm2LuCd crystal, computed with GGA-PBE.

a b c (Å): 3.4852 3.4852 12.4200
angles (deg): 81.93 81.93 60.00
With the nearest neighbours (Å) after each atom.
Atoms (fractional coordinates):
1 Cd 0.0000 0.0000 0.0000  2 Pm 3.30, 6 Cd 3.49
2 Lu 0.5000 0.5000 0.5000  6 Pm 3.47, 6 Lu 3.49
3 Pm 0.0896 0.0896 0.7311  1 Cd 3.30, 3 Lu 3.47, 6 Pm 3.49
4 Pm 0.9104 0.9104 0.2689  1 Cd 3.30, 3 Lu 3.47, 6 Pm 3.49

Calculated values
- Symmetry: R-3m (166)
- Energy of formation from the pure elements: 0.144 eV/atom

A relaxed PmLuCd crystal, computed with GGA-PBE.

a b c (Å): 3.5890 3.5890 7.0690
angles (deg): 104.71 104.71 90.00
With the nearest neighbours (Å) after each atom.
Atoms (fractional coordinates):
1 Lu 0.6300 0.6300 0.2599  4 Cd 3.19, 4 Pm 3.53
2 Pm 0.9441 0.9441 0.8881  4 Cd 3.37, 4 Lu 3.53, 4 Pm 3.59
3 Cd 0.2760 0.2760 0.5520  4 Lu 3.19, 4 Pm 3.37

Calculated values
- Symmetry: I4mm (107)
- Energy of formation from the pure elements: -0.186 eV/atom

A relaxed PmLu2Cd crystal, computed with GGA-PBE.

a b c (Å): 3.5411 3.5411 10.8623
angles (deg): 80.62 80.62 60.00
With the nearest neighbours (Å) after each atom.
Atoms (fractional coordinates):
1 Cd 0.0000 0.0000 0.0000  6 Lu 3.19, 6 Cd 3.54
2 Lu 0.2567 0.2567 0.2298  3 Cd 3.19, 3 Pm 3.53, 6 Lu 3.54
3 Lu 0.7433 0.7433 0.7702  3 Cd 3.19, 3 Pm 3.53, 6 Lu 3.54
4 Pm 0.5000 0.5000 0.5000  6 Lu 3.53, 6 Pm 3.54

Calculated values
- Symmetry: R-3m (166)
- Energy of formation from the pure elements: -0.071 eV/atom

A relaxed PmPrLuCd crystal, computed with GGA-PBE.

a b c (Å): 5.5322 5.5322 5.5322
angles (deg): 60.00 60.00 60.00
With the nearest neighbours (Å) after each atom.
Atoms (fractional coordinates):
1 Pr 0.2500 0.2500 0.2500  4 Cd 3.39, 4 Lu 3.39
2 Cd 0.5000 0.5000 0.5000  4 Pr 3.39, 4 Pm 3.39
3 Lu 0.0000 0.0000 0.0000  4 Pm 3.39, 4 Pr 3.39
4 Pm 0.7500 0.7500 0.7500  4 Lu 3.39, 4 Cd 3.39

Calculated values
- Symmetry: F-43m (216)
- Energy of formation from the pure elements: -0.063 eV/atom

A relaxed PmLuCdRh crystal, computed with GGA-PBE.

a b c (Å): 5.0728 5.0728 5.0728
angles (deg): 60.00 60.00 60.00
With the nearest neighbours (Å) after each atom.
Atoms (fractional coordinates):
1 Cd 0.7500 0.7500 0.7500  4 Lu 3.11, 4 Pm 3.11
2 Lu 0.0000 0.0000 0.0000  4 Cd 3.11, 4 Rh 3.11
3 Rh 0.2500 0.2500 0.2500  4 Pm 3.11, 4 Lu 3.11
4 Pm 0.5000 0.5000 0.5000  4 Rh 3.11, 4 Cd 3.11

Calculated values
- Symmetry: F-43m (216)
- Energy of formation from the pure elements: -0.502 eV/atom

A relaxed PmLuCdRu crystal, computed with GGA-PBE.

a b c (Å): 5.0488 5.0488 5.0488
angles (deg): 60.00 60.00 60.00
With the nearest neighbours (Å) after each atom.
Atoms (fractional coordinates):
1 Cd 0.2500 0.2500 0.2500  4 Pm 3.09, 4 Lu 3.09
2 Lu 0.0000 0.0000 0.0000  4 Cd 3.09, 4 Ru 3.09
3 Ru 0.7500 0.7500 0.7500  4 Pm 3.09, 4 Lu 3.09
4 Pm 0.5000 0.5000 0.5000  4 Ru 3.09, 4 Cd 3.09

Calculated values
- Symmetry: F-43m (216)
- Energy of formation from the pure elements: -0.253 eV/atom

A relaxed PmLuScCd crystal, computed with GGA-PBE.

a b c (Å): 5.3489 5.3489 5.3489
angles (deg): 60.00 60.00 60.00
With the nearest neighbours (Å) after each atom.
Atoms (fractional coordinates):
1 Sc 0.2500 0.2500 0.2500  4 Pm 3.28, 4 Lu 3.28
2 Cd 0.7500 0.7500 0.7500  4 Pm 3.28, 4 Lu 3.28
3 Lu 0.5000 0.5000 0.5000  4 Sc 3.28, 4 Cd 3.28
4 Pm 0.0000 0.0000 0.0000  4 Cd 3.28, 4 Sc 3.28

Calculated values
- Symmetry: F-43m (216)
- Energy of formation from the pure elements: -0.036 eV/atom

A relaxed PmLuCdSi crystal, computed with GGA-PBE.

a b c (Å): 5.1191 5.1191 5.1191
angles (deg): 60.00 60.00 60.00
With the nearest neighbours (Å) after each atom.
Atoms (fractional coordinates):
1 Si 0.7500 0.7500 0.7500  4 Pm 3.13, 4 Lu 3.13
2 Lu 0.0000 0.0000 0.0000  4 Cd 3.13, 4 Si 3.13
3 Pm 0.5000 0.5000 0.5000  4 Cd 3.13, 4 Si 3.13
4 Cd 0.2500 0.2500 0.2500  4 Pm 3.13, 4 Lu 3.13

Calculated values
- Symmetry: F-43m (216)
- Raw formation energy: -0.3564 eV per atom

A relaxed PmSmLuCd crystal, computed with GGA-PBE.

a b c (Å): 5.4924 5.4924 5.4924
angles (deg): 60.00 60.00 60.00
With the nearest neighbours (Å) after each atom.
Atoms (fractional coordinates):
1 Cd 0.7500 0.7500 0.7500  4 Pm 3.36, 4 Sm 3.36
2 Lu 0.2500 0.2500 0.2500  4 Sm 3.36, 4 Pm 3.36
3 Sm 0.5000 0.5000 0.5000  4 Cd 3.36, 4 Lu 3.36
4 Pm 0.0000 0.0000 0.0000  4 Lu 3.36, 4 Cd 3.36

Calculated values
- Symmetry: F-43m (216)
- Energy of formation from the pure elements: -0.058 eV/atom

A relaxed PmLuCdSn crystal, computed with GGA-PBE.

a b c (Å): 5.3032 5.3032 5.3032
angles (deg): 60.00 60.00 60.00
With the nearest neighbours (Å) after each atom.
Atoms (fractional coordinates):
1 Cd 0.7500 0.7500 0.7500  4 Pm 3.25, 4 Lu 3.25
2 Lu 0.0000 0.0000 0.0000  4 Sn 3.25, 4 Cd 3.25
3 Sn 0.2500 0.2500 0.2500  4 Pm 3.25, 4 Lu 3.25
4 Pm 0.5000 0.5000 0.5000  4 Cd 3.25, 4 Sn 3.25

Calculated values
- Symmetry: F-43m (216)
- Energy of formation from the pure elements: -0.470 eV/atom

A relaxed PmLuThCd crystal, computed with GGA-PBE.

a b c (Å): 5.4971 5.4971 5.4971
angles (deg): 60.00 60.00 60.00
With the nearest neighbours (Å) after each atom.
Atoms (fractional coordinates):
1 Cd 0.7500 0.7500 0.7500  4 Pm 3.37, 4 Th 3.37
2 Lu 0.2500 0.2500 0.2500  4 Th 3.37, 4 Pm 3.37
3 Th 0.5000 0.5000 0.5000  4 Cd 3.37, 4 Lu 3.37
4 Pm 0.0000 0.0000 0.0000  4 Lu 3.37, 4 Cd 3.37

Calculated values
- Symmetry: F-43m (216)
- Energy of formation from the pure elements: 0.025 eV/atom

A relaxed PmLuTlCd crystal, computed with GGA-PBE.

a b c (Å): 5.3512 5.3512 5.3512
angles (deg): 60.00 60.00 60.00
With the nearest neighbours (Å) after each atom.
Atoms (fractional coordinates):
1 Tl 0.2500 0.2500 0.2500  4 Lu 3.28, 4 Pm 3.28
2 Lu 0.0000 0.0000 0.0000  4 Tl 3.28, 4 Cd 3.28
3 Pm 0.5000 0.5000 0.5000  4 Cd 3.28, 4 Tl 3.28
4 Cd 0.7500 0.7500 0.7500  4 Pm 3.28, 4 Lu 3.28

Calculated values
- Symmetry: F-43m (216)
- Energy of formation from the pure elements: -0.319 eV/atom

A relaxed PmLuZnCd crystal, computed with GGA-PBE.

a b c (Å): 5.1997 5.1997 5.1997
angles (deg): 60.00 60.00 60.00
With the nearest neighbours (Å) after each atom.
Atoms (fractional coordinates):
1 Cd 0.7500 0.7500 0.7500  4 Pm 3.18, 4 Lu 3.18
2 Zn 0.2500 0.2500 0.2500  4 Pm 3.18, 4 Lu 3.18
3 Lu 0.5000 0.5000 0.5000  4 Zn 3.18, 4 Cd 3.18
4 Pm 0.0000 0.0000 0.0000  4 Cd 3.18, 4 Zn 3.18

Calculated values
- Symmetry: F-43m (216)
- Energy of formation from the pure elements: -0.297 eV/atom

A relaxed Pr2LuCd crystal, computed with GGA-PBE.

a b c (Å): 3.5239 3.5239 12.5608
angles (deg): 81.94 81.94 60.00
With the nearest neighbours (Å) after each atom.
Atoms (fractional coordinates):
1 Pr 0.0898 0.0898 0.7307  1 Cd 3.34, 3 Lu 3.51, 6 Pr 3.52
2 Pr 0.9102 0.9102 0.2693  1 Cd 3.34, 3 Lu 3.51, 6 Pr 3.52
3 Lu 0.5000 0.5000 0.5000  6 Pr 3.51, 6 Lu 3.52
4 Cd 0.0000 0.0000 0.0000  2 Pr 3.34, 6 Cd 3.52

Calculated values
- Symmetry: R-3m (166)
- Energy of formation from the pure elements: 0.143 eV/atom

A relaxed PrLuCd crystal, computed with GGA-PBE.

a b c (Å): 3.6243 3.6243 7.1046
angles (deg): 104.78 104.78 90.00
With the nearest neighbours (Å) after each atom.
Atoms (fractional coordinates):
1 Pr 0.0053 0.0053 0.0107  4 Cd 3.42, 4 Lu 3.57, 4 Pr 3.62
2 Lu 0.3182 0.3182 0.6364  4 Cd 3.18
3 Cd 0.6765 0.6765 0.3530  4 Lu 3.18, 4 Pr 3.42

Calculated values
- Symmetry: I4mm (107)
- Energy of formation from the pure elements: -0.185 eV/atom

A relaxed Pr2LuCd crystal, computed with GGA-PBE.

a b c (Å): 3.7311 3.7311 8.9492
angles (deg): 90.00 90.00 90.00
With the nearest neighbours (Å) after each atom.
Atoms (fractional coordinates):
1 Pr 0.0000 0.0000 0.7676  4 Cd 3.36, 4 Lu 3.56, 4 Pr 3.73
2 Pr 0.0000 0.0000 0.2324  4 Cd 3.36, 4 Lu 3.56, 4 Pr 3.73
3 Lu 0.5000 0.5000 0.5000  8 Pr 3.56, 4 Lu 3.73
4 Cd 0.5000 0.5000 0.0000  8 Pr 3.36, 4 Cd 3.73

Calculated values
- Symmetry: P4/mmm (123)
- Energy of formation from the pure elements: -0.125 eV/atom

A relaxed PrLuPuCd crystal, computed with GGA-PBE.

a b c (Å): 5.4485 5.4485 5.4485
angles (deg): 60.00 60.00 60.00
With the nearest neighbours (Å) after each atom.
Atoms (fractional coordinates):
1 Pr 0.5000 0.5000 0.5000  4 Cd 3.34, 4 Pu 3.34
2 Cd 0.2500 0.2500 0.2500  4 Pr 3.34, 4 Lu 3.34
3 Lu 0.0000 0.0000 0.0000  4 Cd 3.34, 4 Pu 3.34
4 Pu 0.7500 0.7500 0.7500  4 Pr 3.34, 4 Lu 3.34

Calculated values
- Symmetry: F-43m (216)
- Energy of formation from the pure elements: 0.091 eV/atom

A relaxed PrLuCdRh crystal, computed with GGA-PBE.

a b c (Å): 5.1141 5.1141 5.1141
angles (deg): 60.00 60.00 60.00
With the nearest neighbours (Å) after each atom.
Atoms (fractional coordinates):
1 Pr 0.0000 0.0000 0.0000  4 Rh 3.13, 4 Cd 3.13
2 Lu 0.5000 0.5000 0.5000  4 Cd 3.13, 4 Rh 3.13
3 Rh 0.2500 0.2500 0.2500  4 Lu 3.13, 4 Pr 3.13
4 Cd 0.7500 0.7500 0.7500  4 Pr 3.13, 4 Lu 3.13

Calculated values
- Symmetry: F-43m (216)
- Energy of formation from the pure elements: -0.468 eV/atom

A relaxed PrSmLuCd crystal, computed with GGA-PBE.

a b c (Å): 5.5213 5.5213 5.5213
angles (deg): 60.00 60.00 60.00
With the nearest neighbours (Å) after each atom.
Atoms (fractional coordinates):
1 Pr 0.5000 0.5000 0.5000  4 Cd 3.38, 4 Lu 3.38
2 Lu 0.2500 0.2500 0.2500  4 Pr 3.38, 4 Sm 3.38
3 Sm 0.0000 0.0000 0.0000  4 Cd 3.38, 4 Lu 3.38
4 Cd 0.7500 0.7500 0.7500  4 Sm 3.38, 4 Pr 3.38

Calculated values
- Symmetry: F-43m (216)
- Energy of formation from the pure elements: -0.060 eV/atom

A relaxed PrLuCdSn crystal, computed with GGA-PBE.

a b c (Å): 5.3426 5.3426 5.3426
angles (deg): 60.00 60.00 60.00
With the nearest neighbours (Å) after each atom.
Atoms (fractional coordinates):
1 Pr 0.5000 0.5000 0.5000  4 Cd 3.27, 4 Sn 3.27
2 Lu 0.0000 0.0000 0.0000  4 Cd 3.27, 4 Sn 3.27
3 Sn 0.7500 0.7500 0.7500  4 Lu 3.27, 4 Pr 3.27
4 Cd 0.2500 0.2500 0.2500  4 Pr 3.27, 4 Lu 3.27

Calculated values
- Symmetry: F-43m (216)
- Energy of formation from the pure elements: -0.467 eV/atom

A relaxed PrLuThCd crystal, computed with GGA-PBE.

a b c (Å): 5.5251 5.5251 5.5251
angles (deg): 60.00 60.00 60.00
With the nearest neighbours (Å) after each atom.
Atoms (fractional coordinates):
1 Pr 0.7500 0.7500 0.7500  4 Lu 3.38, 4 Cd 3.38
2 Lu 0.5000 0.5000 0.5000  4 Th 3.38, 4 Pr 3.38
3 Th 0.2500 0.2500 0.2500  4 Cd 3.38, 4 Lu 3.38
4 Cd 0.0000 0.0000 0.0000  4 Pr 3.38, 4 Th 3.38

Calculated values
- Symmetry: F-43m (216)
- Energy of formation from the pure elements: 0.028 eV/atom

A relaxed PrLuTlCd crystal, computed with GGA-PBE.

a b c (Å): 5.3942 5.3942 5.3942
angles (deg): 60.00 60.00 60.00
With the nearest neighbours (Å) after each atom.
Atoms (fractional coordinates):
1 Pr 0.5000 0.5000 0.5000  4 Cd 3.30, 4 Tl 3.30
2 Tl 0.7500 0.7500 0.7500  4 Pr 3.30, 4 Lu 3.30
3 Lu 0.0000 0.0000 0.0000  4 Cd 3.30, 4 Tl 3.30
4 Cd 0.2500 0.2500 0.2500  4 Pr 3.30, 4 Lu 3.30

Calculated values
- Symmetry: F-43m (216)
- Energy of formation from the pure elements: -0.315 eV/atom

A relaxed Lu2CdPt crystal, computed with GGA-PBE.

a b c (Å): 3.4838 3.4838 7.4120
angles (deg): 90.00 90.00 90.00
With the nearest neighbours (Å) after each atom.
Atoms (fractional coordinates):
1 Lu 0.0000 0.0000 0.7813  4 Pt 2.95, 4 Cd 3.23, 1 Lu 3.24
2 Lu 0.0000 0.0000 0.2187  4 Pt 2.95, 4 Cd 3.23, 1 Lu 3.24
3 Pt 0.5000 0.5000 0.0000  8 Lu 2.95
4 Cd 0.5000 0.5000 0.5000  8 Lu 3.23, 4 Cd 3.48

Calculated values
- Symmetry: P4/mmm (123)
- Energy of formation from the pure elements: -0.829 eV/atom